Record 1
Pb2Au3 | SCAN | single point on PBEsol structure

Calculated values
The electronic total energy is -71.860 eV per atom. The symmetry is R-3m. The energy of formation from the pure elements is -53 meV per atom. Its crystal system is trigonal.

Unit cell a=4.515 b=4.515 c=7.066 alpha=71.37 beta=71.37 gamma=60.00
Element x y z (fractional)
Au  0.000  0.000  0.000
Pb  0.408  0.408  0.775
Au  0.143  0.143  0.571
Au  0.857  0.857  0.429
Pb  0.592  0.592  0.225



Record 2
ZnTeIr2 | SCAN | single point on PBEsol structure

Calculated values
The formation energy without anion corrections comes out at 0.193 eV/atom. The electronic total energy is -48.048 eV per atom. The symmetry is Imm2. For the distance to the lowest polymorph of the same formula, the calculation gives 0.00 eV per formula unit. Its crystal system is orthorhombic.

Unit cell a=2.955 b=3.975 c=6.414 alpha=108.05 beta=103.32 gamma=90.00
Element x y z (fractional)
Zn  0.213  0.713  0.426
Te  0.455  0.455  0.909
Ir  0.763  0.263  0.525
Ir  0.070  0.070  0.140



Record 3
La2Co3 | SCAN | single point on PBEsol structure

Calculated values
The electronic total energy is -27.606 eV per atom. The symmetry is Cmce. The energy of formation from the pure elements is 19 meV per atom. Its crystal system is orthorhombic.

Unit cell a=4.716 b=5.589 c=7.528 alpha=90.00 beta=90.00 gamma=114.95
Site moments in Bohr magnetons follow the coordinates.
Element x y z (fractional)
La  0.650  0.300  0.911  -0.27
Co  0.500  0.000  0.500  1.13
La  0.850  0.700  0.411  -0.27
Co  0.842  0.183  0.250  1.13
La  0.150  0.300  0.589  -0.27
Co  0.000  0.000  0.000  1.13
Co  0.158  0.817  0.750  1.13
Co  0.658  0.817  0.750  1.13
La  0.350  0.700  0.089  -0.27
Co  0.342  0.183  0.250  1.13



Record 4
CdSiSe3 | SCAN | single point on PBEsol structure

Calculated values
The formation energy without anion corrections comes out at 0.201 eV/atom. The electronic total energy is -19.932 eV per atom. The symmetry is Pm-3m. Its crystal system is cubic.

Unit cell a=4.800 b=4.800 c=4.800 alpha=90.00 beta=90.00 gamma=90.00
Element x y z (fractional)
Se  0.000  0.000  0.500
Si  0.000  0.000  0.000
Se  0.000  0.500  0.000
Cd  0.500  0.500  0.500
Se  0.500  0.000  0.000



Record 5
K3V3O8 | SCAN | single point on PBEsol structure

Calculated values
The formation energy without anion corrections comes out at -2.560 eV/atom. The electronic total energy is -11.653 eV per atom. The symmetry is P-3m1. Its crystal system is trigonal.

Unit cell a=5.600 b=5.600 c=7.348 alpha=90.00 beta=90.00 gamma=120.00
Site moments in Bohr magnetons follow the coordinates.
Element x y z (fractional)
O  0.835  0.670  0.655  -0.03
K  0.333  0.667  0.687  0.00
V  0.667  0.333  0.740  0.18
O  0.330  0.165  0.655  -0.03
O  0.670  0.835  0.345  -0.03
O  0.835  0.165  0.655  -0.03
V  0.000  0.000  0.500  1.64
O  0.667  0.333  0.965  0.01
O  0.165  0.835  0.345  -0.03
O  0.165  0.330  0.345  -0.03
K  0.667  0.333  0.313  0.00
K  0.000  0.000  0.000  0.00
O  0.333  0.667  0.035  0.01
V  0.333  0.667  0.260  0.18



Record 6
FeSb3 | SCAN | single point on PBEsol structure

Calculated values
The formation energy without anion corrections comes out at 0.003 eV/atom. The electronic total energy is -32.475 eV per atom. The symmetry is Im-3. For the distance to the lowest polymorph of the same formula, the calculation gives 0.00 eV per formula unit. Its crystal system is cubic.

Unit cell a=7.828 b=7.828 c=7.828 alpha=109.47 beta=109.47 gamma=109.47
Site moments in Bohr magnetons follow the coordinates.
Element x y z (fractional)
Sb  0.840  0.509  0.670  -0.02
Sb  0.330  0.840  0.170  -0.02
Sb  0.491  0.330  0.160  -0.02
Sb  0.170  0.330  0.840  -0.02
Sb  0.840  0.170  0.330  -0.02
Sb  0.160  0.491  0.330  -0.02
Fe  0.500  0.500  0.500  1.10
Fe  0.000  0.500  0.000  1.10
Fe  0.000  0.000  0.500  1.10
Sb  0.330  0.160  0.491  -0.02
Sb  0.160  0.830  0.670  -0.02
Sb  0.509  0.670  0.840  -0.02
Sb  0.670  0.160  0.830  -0.02
Sb  0.830  0.670  0.160  -0.02
Fe  0.500  0.000  0.000  1.10
Sb  0.670  0.840  0.509  -0.02



Record 7
MgCd2Sn2 | SCAN | single point on PBEsol structure

Calculated values
The electronic total energy is -27.414 eV per atom. The symmetry is I4/mmm. The energy of formation from the pure elements is 115 meV per atom. Its crystal system is tetragonal.

Unit cell a=4.038 b=4.038 c=8.292 alpha=104.09 beta=104.09 gamma=90.00
Element x y z (fractional)
Sn  0.601  0.601  0.201
Cd  0.250  0.750  0.500
Sn  0.399  0.399  0.799
Cd  0.750  0.250  0.500
Mg  0.000  0.000  0.000



Record 8
BeMo2Br | SCAN | single point on PBEsol structure

Calculated values
The formation energy without anion corrections comes out at 0.985 eV/atom. The electronic total energy is -22.411 eV per atom. The symmetry is Pmmm. For the distance to the lowest polymorph of the same formula, the calculation gives 2.66 eV per formula unit. Its crystal system is orthorhombic.

Unit cell a=3.024 b=4.404 c=4.469 alpha=90.00 beta=90.00 gamma=90.00
Element x y z (fractional)
Mo  0.000  0.000  0.000
Mo  0.500  0.000  0.500
Be  0.500  0.500  0.000
Br  0.000  0.500  0.500



So what do the calculations give for total magnetization? Going down the list: 0.00; 0.00; 4.61; 0.00; 2.00; 4.04; 0.00; 0.00 μB per cell.